1.
La4NdHo3S8 | PBE | optimized geometry

```
La4NdHo3S8
1.0
-0.1492 5.0826 6.2396
-1.7212 -6.1805 4.9932
6.5072 -0.3856 -4.7219
Ho S Nd La
3 8 1 4
direct
0.0000 0.5000 0.5000 Ho
0.5000 0.5000 0.0000 Ho
0.5000 0.5000 0.5000 Ho
0.2484 0.7326 0.4967 S
0.2576 0.2729 0.5152 S
0.7358 0.7325 0.9842 S
0.7516 0.2674 0.5033 S
0.7424 0.7271 0.4848 S
0.7516 0.2675 0.0158 S
0.2642 0.2675 0.0158 S
0.2484 0.7325 0.9842 S
0.0000 0.5000 0.0000 Nd
0.0000 0.0000 0.0000 La
0.5000 0.0000 0.0000 La
0.0000 0.0000 0.5000 La
0.5000 0.0000 0.5000 La
```

## Properties
The calculation puts the total DFT energy (no corrections) at -6.53 eV per atom. Its space group is R-3m (166). The formation energy (no corrections) comes out at -2077 meV per atom.



2.
Ba2ThPd2O6 | PBE | optimized geometry

```
Ba2ThPd2O6
1.0
-3.3483 -3.6603 -3.9963
0.5325 -6.3416 0.2851
-5.4045 -3.5325 2.6865
Ba Pd O Th
2 2 6 1
direct
0.2121 0.2121 0.3636 Ba
0.7879 0.7879 0.6364 Ba
0.4154 0.4154 0.7538 Pd
0.5846 0.5846 0.2462 Pd
0.2399 0.7871 0.7330 O
0.2399 0.2399 0.7330 O
0.2129 0.7601 0.2670 O
0.7601 0.7601 0.2670 O
0.7601 0.2129 0.2670 O
0.7871 0.2399 0.7330 O
0.0000 0.0000 0.0000 Th
```

## Properties
The calculation puts the total DFT energy (no corrections) at -6.52 eV per atom. Its space group is R-3m (166). The formation energy (no corrections) comes out at -1847 meV per atom.



3.
Ho2Ge3Os | PBE | optimized geometry

```
Ho2Ge3Os
1.0
-1.6517 -3.1775 2.4896
1.8390 -3.8356 -3.6755
4.3434 3.1946 3.1386
Ge Os Ho
3 1 2
direct
0.6297 0.6297 0.2595 Ge
0.0000 0.0000 0.0000 Ge
0.3703 0.3703 0.7405 Ge
0.0000 0.5000 0.0000 Os
0.6843 0.1843 0.3686 Ho
0.3157 0.8157 0.6314 Ho
```

## Properties
The calculation puts the total DFT energy (no corrections) at -5.96 eV per atom. The energy above the most stable polymorph in this dataset is 1.78 eV per formula unit. As for the formation energy: -0.256 eV/atom. Its space group is Immm (71).



- Which of these has the lowest total DFT energy (no corrections)?
  La4NdHo3S8



- Among the records above, which one has the highest total DFT energy (no corrections)?
  Ho2Ge3Os



Repeat the third record exactly.
Ho2Ge3Os | PBE | optimized geometry

```
Ho2Ge3Os
1.0
-1.6517 -3.1775 2.4896
1.8390 -3.8356 -3.6755
4.3434 3.1946 3.1386
Ge Os Ho
3 1 2
direct
0.6297 0.6297 0.2595 Ge
0.0000 0.0000 0.0000 Ge
0.3703 0.3703 0.7405 Ge
0.0000 0.5000 0.0000 Os
0.6843 0.1843 0.3686 Ho
0.3157 0.8157 0.6314 Ho
```

## Properties
The calculation puts the total DFT energy (no corrections) at -5.96 eV per atom. The energy above the most stable polymorph in this dataset is 1.78 eV per formula unit. As for the formation energy: -0.256 eV/atom. Its space group is Immm (71).



- total DFT energy (no corrections) of number 2 (Ba2ThPd2O6)?
  -6.52 eV per atom